(1)
The following is a DFT calculation (GGA-PBE) of an optimized crystal structure of CaZn3Ag10.

## Properties
Calculated volume   19.7 Å³/atom
Crystal system   cubic
Total moment   0.00 μB per formula unit
Energy   -270.84 eV per cell

Lattice parameters (Å, degrees): 13.027 13.027 13.027 90.00 90.00 90.00
Space group Fm-3m (No. 225)
Inequivalent atoms, fractional coordinates:
Ca (0.250, 0.250, 0.250) [8 per cell]
Zn (0.000, 0.000, 0.231) [24 per cell]
Ag (0.000, 0.173, 0.327) [48 per cell]
Ag (0.117, 0.117, 0.117) [32 per cell]

(2)
The following is a DFT calculation (GGA-PBE) of an optimized crystal structure of CaZnAg4.

## Properties
Calculated volume   20.6 Å³/atom
Crystal system   cubic
Relative energy among the computed polymorphs   38.7 meV per atom
Total moment   0.00 μB per formula unit
Energy   -61.08 eV per cell

Lattice parameters (Å, degrees): 7.906 7.906 7.906 90.00 90.00 90.00
Space group F-43m (No. 216)
Inequivalent atoms, fractional coordinates:
Ca (0.000, 0.000, 0.000) [4 per cell]
Zn (0.250, 0.250, 0.750) [4 per cell]
Ag (0.125, 0.125, 0.375) [16 per cell]

(3)
The following is a DFT calculation (GGA-PBE) of an optimized crystal structure of Ca2ZnAg2.

## Properties
Calculated volume   26.7 Å³/atom
Crystal system   tetragonal
Relative energy among the computed polymorphs   167.4 meV per atom
Total moment   0.00 μB per formula unit
Energy   -22.74 eV per cell

Lattice parameters (Å, degrees): 8.399 8.399 3.779 90.00 90.00 90.00
Space group P4/mbm (No. 127)
Inequivalent atoms, fractional coordinates:
Ca (0.169, 0.331, 0.000) [4 per cell]
Zn (0.000, 0.000, 0.000) [2 per cell]
Ag (0.123, 0.623, 0.500) [4 per cell]

(4)
The following is a DFT calculation (GGA-PBE) of an optimized crystal structure of Ca2Zn5Ag4.

## Properties
Calculated volume   20.2 Å³/atom
Crystal system   orthorhombic
Relative energy among the computed polymorphs   0.0 meV per atom
Total moment   0.00 μB per formula unit
Energy   -96.13 eV per cell

Lattice parameters (Å, degrees): 5.452 9.257 17.639 90.00 90.00 90.00
Space group Fmmm (No. 69)
Inequivalent atoms, fractional coordinates:
Ca (0.000, 0.000, 0.135) [8 per cell]
Zn (0.000, 0.000, 0.500) [4 per cell]
Zn (0.250, 0.250, 0.000) [8 per cell]
Zn (0.250, 0.250, 0.250) [8 per cell]
Ag (0.000, 0.162, 0.372) [16 per cell]

(5)
The following is a DFT calculation (GGA-PBE) of an optimized crystal structure of CaZn2Ag.

## Properties
Calculated volume   22.1 Å³/atom
Crystal system   monoclinic
Total moment   0.00 μB per formula unit
Energy   -7.98 eV per cell

Lattice parameters (Å, degrees): 3.570 4.674 5.297 90.00 90.15 90.00
Space group P2/m (No. 10)
Inequivalent atoms, fractional coordinates:
Ca (0.000, 0.000, 0.000) [1 per cell]
Zn (0.498, 0.500, 0.749) [2 per cell]
Ag (0.500, 0.000, 0.500) [1 per cell]

(6)
The following is a DFT calculation (GGA-PBE) of an optimized crystal structure of Ca2Zn2Ag.

## Properties
Calculated volume   25.0 Å³/atom
Crystal system   tetragonal
Relative energy among the computed polymorphs   128.1 meV per atom
Total moment   0.00 μB per formula unit
Energy   -20.20 eV per cell

Lattice parameters (Å, degrees): 3.734 3.734 17.958 90.00 90.00 90.00
Space group I4/mmm (No. 139)
Inequivalent atoms, fractional coordinates:
Ca (0.000, 0.000, 0.102) [4 per cell]
Zn (0.000, 0.500, 0.250) [4 per cell]
Ag (0.000, 0.000, 0.500) [2 per cell]

(7)
The following is a DFT calculation (GGA-PBE) of an optimized crystal structure of Ca2Zn2Ag.

## Properties
Calculated volume   25.8 Å³/atom
Crystal system   tetragonal
Relative energy among the computed polymorphs   170.2 meV per atom
Total moment   0.00 μB per formula unit
Energy   -19.77 eV per cell

Lattice parameters (Å, degrees): 5.824 5.824 7.598 90.00 90.00 90.00
Space group I4/mmm (No. 139)
Inequivalent atoms, fractional coordinates:
Ca (0.000, 0.500, 0.250) [4 per cell]
Zn (0.000, 0.000, 0.155) [4 per cell]
Ag (0.000, 0.000, 0.500) [2 per cell]

(8)
The following is a DFT calculation (GGA-PBE) of an optimized crystal structure of CaZn2Ag10.

## Properties
Calculated volume   18.9 Å³/atom
Crystal system   orthorhombic
Total moment   0.00 μB per formula unit
Energy   -136.70 eV per cell

Lattice parameters (Å, degrees): 5.414 13.427 13.505 90.00 90.00 90.00
Space group Fmmm (No. 69)
Inequivalent atoms, fractional coordinates:
Ca (0.000, 0.000, 0.000) [4 per cell]
Zn (0.250, 0.000, 0.250) [8 per cell]
Ag (0.000, 0.106, 0.388) [16 per cell]
Ag (0.000, 0.172, 0.178) [16 per cell]
Ag (0.250, 0.250, 0.000) [8 per cell]

(9)
The following is a DFT calculation (GGA-PBE) of an optimized crystal structure of Ca2Zn3Ag.

## Properties
Calculated volume   22.6 Å³/atom
Crystal system   orthorhombic
Relative energy among the computed polymorphs   19.3 meV per atom
Total moment   0.00 μB per formula unit
Energy   -98.78 eV per cell

Lattice parameters (Å, degrees): 7.560 9.134 15.726 90.00 90.00 90.00
Space group Fmmm (No. 69)
Inequivalent atoms, fractional coordinates:
Ca (0.246, 0.000, 0.000) [8 per cell]
Ca (0.250, 0.250, 0.250) [8 per cell]
Zn (0.000, 0.000, 0.337) [8 per cell]
Zn (0.000, 0.246, 0.418) [16 per cell]
Ag (0.000, 0.000, 0.167) [8 per cell]

(10)
The following is a DFT calculation (GGA-PBE) of an optimized crystal structure of CaZr2Ag.

## Properties
Calculated volume   25.7 Å³/atom
Crystal system   tetragonal
Total moment   0.00 μB per formula unit
Energy   -80.69 eV per cell

Lattice parameters (Å, degrees): 8.357 8.357 5.884 90.00 90.00 90.00
Space group I-42d (No. 122)
Inequivalent atoms, fractional coordinates:
Ca (0.000, 0.000, 0.000) [4 per cell]
Zr (0.203, 0.250, 0.625) [8 per cell]
Ag (0.000, 0.000, 0.500) [4 per cell]

(11)
The following is a DFT calculation (GGA-PBE) of an optimized crystal structure of CaZr4Ag.

## Properties
Calculated volume   24.7 Å³/atom
Crystal system   cubic
Total moment   0.00 μB per formula unit
Energy   -147.10 eV per cell

Lattice parameters (Å, degrees): 8.399 8.399 8.399 90.00 90.00 90.00
Space group F-43m (No. 216)
Inequivalent atoms, fractional coordinates:
Ca (0.000, 0.000, 0.000) [4 per cell]
Zr (0.125, 0.125, 0.625) [16 per cell]
Ag (0.250, 0.250, 0.250) [4 per cell]

(12)
The following is a DFT calculation (GGA-PBE) of an optimized crystal structure of Ca2ZrAg.

## Properties
Calculated volume   28.1 Å³/atom
Crystal system   monoclinic
Relative energy among the computed polymorphs   78.0 meV per atom
Total moment   0.63 μB per formula unit
Energy   -29.54 eV per cell

Lattice parameters (Å, degrees): 12.889 3.495 5.512 90.00 115.30 90.00
Space group Cm (No. 8)
Inequivalent atoms, fractional coordinates:
Ca (0.000, 0.000, 0.000) [2 per cell]
Ca (0.209, 0.000, 0.708) [2 per cell]
Zr (0.286, 0.500, 0.285) [2 per cell]
Ag (0.484, 0.000, 0.485) [2 per cell]

(13)
The following is a DFT calculation (GGA-PBE) of an optimized crystal structure of Ca2ZrAg.

## Properties
Calculated volume   27.3 Å³/atom
Crystal system   orthorhombic
Relative energy among the computed polymorphs   156.0 meV per atom
Total moment   1.52 μB per formula unit
Energy   -28.92 eV per cell

Lattice parameters (Å, degrees): 3.615 5.428 11.148 90.00 90.00 90.00
Space group Immm (No. 71)
Inequivalent atoms, fractional coordinates:
Ca (0.000, 0.000, 0.214) [4 per cell]
Zr (0.000, 0.500, 0.000) [2 per cell]
Ag (0.000, 0.500, 0.500) [2 per cell]

(14)
The following is a DFT calculation (GGA-PBE) of an optimized crystal structure of CaZr2Ag.

## Properties
Calculated volume   23.8 Å³/atom
Crystal system   orthorhombic
Total moment   0.00 μB per formula unit
Energy   -41.21 eV per cell

Lattice parameters (Å, degrees): 5.852 10.300 3.155 90.00 90.00 90.00
Space group Cmmm (No. 65)
Inequivalent atoms, fractional coordinates:
Ca (0.000, 0.000, 0.000) [2 per cell]
Zr (0.250, 0.250, 0.500) [4 per cell]
Ag (0.000, 0.500, 0.000) [2 per cell]

(15)
The following is a DFT calculation (GGA-PBE) of an optimized crystal structure of CaZrAg2.

## Properties
Calculated volume   22.2 Å³/atom
Crystal system   tetragonal
Total moment   0.00 μB per formula unit
Energy   -16.55 eV per cell

Lattice parameters (Å, degrees): 5.217 5.217 3.262 90.00 90.00 90.00
Space group P4/mmm (No. 123)
Inequivalent atoms, fractional coordinates:
Ca (0.000, 0.000, 0.000) [1 per cell]
Zr (0.500, 0.500, 0.000) [1 per cell]
Ag (0.000, 0.500, 0.500) [2 per cell]

(16)
The following is a DFT calculation (GGA-PBE) of an optimized crystal structure of CaZr2Ag.

## Properties
Calculated volume   24.2 Å³/atom
Crystal system   trigonal
Total moment   0.00 μB per formula unit
Energy   -62.38 eV per cell

Lattice parameters (Å, degrees): 3.2118 3.2118 32.4976 90.00 90.00 120.00
Space group R-3m (No. 166, hexagonal axes)
Inequivalent atoms, fractional coordinates:
Ca (0.0000, 0.0000, 0.0000) [3 per cell]
Zr (0.0000, 0.0000, 0.2408) [6 per cell]
Ag (0.0000, 0.0000, 0.5000) [3 per cell]

(17)
The following is a DFT calculation (GGA-PBE) of an optimized crystal structure of CaZrAg2.

## Properties
Calculated volume   25.2 Å³/atom
Crystal system   tetragonal
Total moment   1.04 μB per formula unit
Energy   -59.38 eV per cell

Lattice parameters (Å, degrees): 7.820 7.820 6.586 90.00 90.00 90.00
Space group I-42d (No. 122)
Inequivalent atoms, fractional coordinates:
Ca (0.000, 0.000, 0.000) [4 per cell]
Zr (0.000, 0.000, 0.500) [4 per cell]
Ag (0.232, 0.750, 0.625) [8 per cell]

(18)
The following is a DFT calculation (GGA-PBE) of an optimized crystal structure of CaZrAg2.

## Properties
Calculated volume   23.7 Å³/atom
Crystal system   monoclinic
Total moment   0.00 μB per formula unit
Energy   -31.53 eV per cell

Lattice parameters (Å, degrees): 9.331 3.068 6.692 90.00 97.42 90.00
Space group C2/m (No. 12)
Inequivalent atoms, fractional coordinates:
Ca (0.000, 0.000, 0.000) [2 per cell]
Zr (0.000, 0.500, 0.500) [2 per cell]
Ag (0.248, 0.000, 0.711) [4 per cell]

(19)
The following is a DFT calculation (GGA-PBE) of an optimized crystal structure of CaZrAg4.

## Properties
Calculated volume   21.0 Å³/atom
Crystal system   cubic
Total moment   0.00 μB per formula unit
Energy   -87.05 eV per cell

Lattice parameters (Å, degrees): 7.963 7.963 7.963 90.00 90.00 90.00
Space group F-43m (No. 216)
Inequivalent atoms, fractional coordinates:
Ca (0.000, 0.000, 0.000) [4 per cell]
Zr (0.250, 0.250, 0.750) [4 per cell]
Ag (0.125, 0.125, 0.375) [16 per cell]

(20)
The following is a DFT calculation (GGA-PBE) of an optimized crystal structure of CaZr2Ag.

## Properties
Calculated volume   24.7 Å³/atom
Crystal system   tetragonal
Total moment   0.00 μB per formula unit
Energy   -22.01 eV per cell

Lattice parameters (Å, degrees): 3.341 3.341 8.856 90.00 90.00 90.00
Space group P4mm (No. 99)
Inequivalent atoms, fractional coordinates:
Ca (0.000, 0.000, 0.000) [1 per cell]
Zr (0.000, 0.000, 0.548) [1 per cell]
Zr (0.500, 0.500, 0.321) [1 per cell]
Ag (0.500, 0.500, 0.757) [1 per cell]

(21)
The following is a DFT calculation (GGA-PBE) of an optimized crystal structure of CaZrAg2.

## Properties
Calculated volume   23.1 Å³/atom
Crystal system   tetragonal
Total moment   0.04 μB per formula unit
Energy   -16.09 eV per cell

Lattice parameters (Å, degrees): 3.569 3.569 7.245 90.00 90.00 90.00
Space group P4mm (No. 99)
Inequivalent atoms, fractional coordinates:
Ca (0.000, 0.000, 0.000) [1 per cell]
Zr (0.500, 0.500, 0.329) [1 per cell]
Ag (0.000, 0.000, 0.542) [1 per cell]
Ag (0.500, 0.500, 0.744) [1 per cell]

(22)
The following is a DFT calculation (GGA-PBE) of an optimized crystal structure of Ca2ZrAg.

## Properties
Calculated volume   28.9 Å³/atom
Crystal system   tetragonal
Relative energy among the computed polymorphs   0.0 meV per atom
Total moment   0.65 μB per formula unit
Energy   -15.08 eV per cell

Lattice parameters (Å, degrees): 3.515 3.515 9.371 90.00 90.00 90.00
Space group P4mm (No. 99)
Inequivalent atoms, fractional coordinates:
Ca (0.000, 0.000, 0.000) [1 per cell]
Ca (0.500, 0.500, 0.345) [1 per cell]
Zr (0.000, 0.000, 0.611) [1 per cell]
Ag (0.500, 0.500, 0.781) [1 per cell]

(23)
The following is a DFT calculation (GGA-PBE) of an optimized crystal structure of CaZrAg2.

## Properties
Calculated volume   22.3 Å³/atom
Crystal system   tetragonal
Total moment   1.16 μB per formula unit
Energy   -31.30 eV per cell

Lattice parameters (Å, degrees): 4.256 4.256 9.860 90.00 90.00 90.00
Space group I-4m2 (No. 119)
Inequivalent atoms, fractional coordinates:
Ca (0.000, 0.000, 0.000) [2 per cell]
Zr (0.000, 0.500, 0.750) [2 per cell]
Ag (0.000, 0.000, 0.500) [2 per cell]
Ag (0.000, 0.500, 0.250) [2 per cell]

(24)
The following is a DFT calculation (GGA-PBE) of an optimized crystal structure of CaZr2Ag.

## Properties
Calculated volume   23.8 Å³/atom
Crystal system   tetragonal
Total moment   0.00 μB per formula unit
Energy   -42.12 eV per cell

Lattice parameters (Å, degrees): 4.224 4.224 10.693 90.00 90.00 90.00
Space group I4/mmm (No. 139)
Inequivalent atoms, fractional coordinates:
Ca (0.000, 0.000, 0.000) [2 per cell]
Zr (0.000, 0.500, 0.250) [4 per cell]
Ag (0.000, 0.000, 0.500) [2 per cell]

(25)
The following is a DFT calculation (GGA-PBE) of an optimized crystal structure of Ca2ZrAg2.

## Properties
Calculated volume   26.1 Å³/atom
Crystal system   tetragonal
Relative energy among the computed polymorphs   0.0 meV per atom
Total moment   0.00 μB per formula unit
Energy   -36.65 eV per cell

Lattice parameters (Å, degrees): 7.453 7.453 4.704 90.00 90.00 90.00
Space group P4/mbm (No. 127)
Inequivalent atoms, fractional coordinates:
Ca (0.172, 0.328, 0.000) [4 per cell]
Zr (0.000, 0.000, 0.500) [2 per cell]
Ag (0.133, 0.633, 0.500) [4 per cell]

(26)
The following is a DFT calculation (GGA-PBE) of an optimized crystal structure of Ca2ZrAg.

## Properties
Calculated volume   27.3 Å³/atom
Crystal system   tetragonal
Relative energy among the computed polymorphs   201.2 meV per atom
Total moment   2.16 μB per formula unit
Energy   -14.28 eV per cell

Lattice parameters (Å, degrees): 4.843 4.843 4.662 90.00 90.00 90.00
Space group P4/mmm (No. 123)
Inequivalent atoms, fractional coordinates:
Ca (0.000, 0.500, 0.000) [2 per cell]
Zr (0.000, 0.000, 0.500) [1 per cell]
Ag (0.500, 0.500, 0.500) [1 per cell]

no.,energy relative to the elements (kJ/mol of atoms)
1,3.3
2,-9.5
3,-7.5
4,-19.8
5,-14.0
6,-13.4
7,-9.4
8,-8.3
9,-26.9
10,42.9
11,36.5
12,15.2
13,22.8
14,32.4
15,-7.3
16,27.9
17,34.0
18,11.7
19,3.1
20,-1.4
21,3.9
22,7.7
23,14.5
24,21.5
25,-1.4
26,27.1